[1]
A relaxed PaV6Ge6 crystal. Source: Alexandria, functional PBE-GGA.

Values from the calculation:
Formation energy from the elements: -0.402 eV/atom
DFT total energy: -7.47 eV per atom

CIF file:
```
data_PaV6Ge6
_chemical_formula_sum 'Pa2 V12 Ge12'
_space_group_name_H-M_alt 'I m m m'
_space_group_IT_number 71
_space_group_name_Hall '-I 2 2'
_cell_length_a 5.268
_cell_length_b 8.459
_cell_length_c 9.080
_cell_angle_alpha 90.00
_cell_angle_beta 90.00
_cell_angle_gamma 90.00
loop_
_atom_site_label
_atom_site_type_symbol
_atom_site_fract_x
_atom_site_fract_y
_atom_site_fract_z
_atom_site_occupancy
Pa1 Pa 0.000 0.000 0.000 1
V1 V 0.000 0.250 0.500 1
V2 V 0.250 0.250 0.250 1
Ge1 Ge 0.000 0.000 0.336 1
Ge2 Ge 0.000 0.347 0.000 1
Ge3 Ge 0.000 0.500 0.332 1
```

***

[2]
A relaxed Pa2VGe crystal. Source: Alexandria, functional PBE-GGA.

Values from the calculation:
Energy relative to the lowest polymorph listed for this composition: 301 meV per atom
Formation energy from the elements: 0.124 eV/atom
DFT total energy: -8.06 eV per atom

CIF file:
```
data_Pa2VGe
_chemical_formula_sum 'Pa8 V4 Ge4'
_space_group_name_H-M_alt 'F m -3 m'
_space_group_IT_number 225
_space_group_name_Hall '-F 4 2 3'
_cell_length_a 6.963
_cell_length_b 6.963
_cell_length_c 6.963
_cell_angle_alpha 90.00
_cell_angle_beta 90.00
_cell_angle_gamma 90.00
loop_
_atom_site_label
_atom_site_type_symbol
_atom_site_fract_x
_atom_site_fract_y
_atom_site_fract_z
_atom_site_occupancy
Pa1 Pa 0.250 0.250 0.250 1
V1 V 0.000 0.000 0.000 1
Ge1 Ge 0.000 0.000 0.500 1
```